<a>
DFT (meta-GGA SCAN) results for a crystal of Ir2BrCl relaxed with PBEsol.

Properties
Fermi-level density of states (states/eV per cell): 5.12

```
data_Ir2BrCl
_space_group_name_H-M_alt 'I m m m'
_space_group_IT_number 71
_space_group_name_Hall '-I 2 2'
_cell_length_a 2.837
_cell_length_b 5.252
_cell_length_c 8.569
_cell_angle_alpha 90.00
_cell_angle_beta 90.00
_cell_angle_gamma 90.00
loop_
_atom_site_label
_atom_site_fract_x
_atom_site_fract_y
_atom_site_fract_z
_atom_site_occupancy
Ir1 0.000 0.000 0.246 1
Br1 0.000 0.500 0.000 1
Cl1 0.000 0.500 0.500 1
```

=====

<b>
DFT (meta-GGA SCAN) results for a crystal of Ir2BrCl relaxed with PBEsol.

Properties
Fermi-level density of states (states/eV per cell): 6.81

```
data_Ir2BrCl
_space_group_name_H-M_alt 'C 1 2/m 1'
_space_group_IT_number 12
_cell_length_a 8.299
_cell_length_b 2.998
_cell_length_c 5.164
_cell_angle_alpha 90.00
_cell_angle_beta 100.94
_cell_angle_gamma 90.00
loop_
_space_group_symop_operation_xyz
'x,y,z'
'-x,-y,-z'
'-x,y,-z'
'x,-y,z'
'x+1/2,y+1/2,z'
'-x+1/2,-y+1/2,-z'
'-x+1/2,y+1/2,-z'
'x+1/2,-y+1/2,z'
loop_
_atom_site_label
_atom_site_fract_x
_atom_site_fract_y
_atom_site_fract_z
_atom_site_occupancy
Ir1 0.245 0.000 0.255 1
Br1 0.000 0.500 0.000 1
Cl1 0.000 0.000 0.500 1
```

=====

<a> comes first in stability; the runner-up is 0.162 eV/atom higher.

=====

<a>
DFT (meta-GGA SCAN) results for a crystal of KBr2Cl relaxed with PBEsol.

Properties
Fermi-level density of states (states/eV per cell): 16.89

```
data_KBr2Cl
_space_group_name_H-M_alt 'F m -3 m'
_space_group_IT_number 225
_space_group_name_Hall '-F 4 2 3'
_cell_length_a 7.647
_cell_length_b 7.647
_cell_length_c 7.647
_cell_angle_alpha 90.00
_cell_angle_beta 90.00
_cell_angle_gamma 90.00
loop_
_atom_site_label
_atom_site_fract_x
_atom_site_fract_y
_atom_site_fract_z
_atom_site_occupancy
K1 0.000 0.000 0.000 1
Br1 0.250 0.250 0.250 1
Cl1 0.000 0.000 0.500 1
```

=====

<b>
DFT (meta-GGA SCAN) results for a crystal of KBr2Cl relaxed with PBEsol.

Properties
Fermi-level density of states (states/eV per cell): 2.31

```
data_KBr2Cl
_space_group_name_H-M_alt 'P 4 m m'
_space_group_IT_number 99
_cell_length_a 4.475
_cell_length_b 4.475
_cell_length_c 6.276
_cell_angle_alpha 90.00
_cell_angle_beta 90.00
_cell_angle_gamma 90.00
loop_
_space_group_symop_operation_xyz
'x,y,z'
'-y,x,z'
'-x,-y,z'
'y,-x,z'
'-x,y,z'
'y,x,z'
'x,-y,z'
'-y,-x,z'
loop_
_atom_site_label
_atom_site_fract_x
_atom_site_fract_y
_atom_site_fract_z
_atom_site_occupancy
K1 0.000 0.000 0.000 1
Br1 0.000 0.000 0.494 1
Br2 0.500 0.500 0.793 1
Cl1 0.500 0.500 0.159 1
```

=====

<c>
DFT (meta-GGA SCAN) results for a crystal of KBr2Cl relaxed with PBEsol.

Properties
Fermi-level density of states (states/eV per cell): 0.00

```
data_KBr2Cl
_space_group_name_H-M_alt 'C 1 m 1'
_space_group_IT_number 8
_cell_length_a 10.001
_cell_length_b 4.722
_cell_length_c 6.233
_cell_angle_alpha 90.00
_cell_angle_beta 94.20
_cell_angle_gamma 90.00
loop_
_space_group_symop_operation_xyz
'x,y,z'
'x,-y,z'
'x+1/2,y+1/2,z'
'x+1/2,-y+1/2,z'
loop_
_atom_site_label
_atom_site_fract_x
_atom_site_fract_y
_atom_site_fract_z
_atom_site_occupancy
K1 0.000 0.000 0.000 1
Br1 0.025 0.500 0.589 1
Br2 0.356 0.000 0.276 1
Cl1 0.187 0.500 0.909 1
```

=====

<d>
DFT (meta-GGA SCAN) results for a crystal of KBr2Cl relaxed with PBEsol.

Properties
Fermi-level density of states (states/eV per cell): 9.29

```
data_KBr2Cl
_space_group_name_H-M_alt 'I 4/m m m'
_space_group_IT_number 139
_space_group_name_Hall '-I 4 2'
_cell_length_a 4.097
_cell_length_b 4.097
_cell_length_c 14.233
_cell_angle_alpha 90.00
_cell_angle_beta 90.00
_cell_angle_gamma 90.00
loop_
_atom_site_label
_atom_site_fract_x
_atom_site_fract_y
_atom_site_fract_z
_atom_site_occupancy
K1 0.000 0.000 0.000 1
Br1 0.000 0.500 0.250 1
Cl1 0.000 0.000 0.500 1
```

=====

<c> comes first in stability; the runner-up is 0.204 eV/atom higher.

=====

<a>
DFT (meta-GGA SCAN) results for a crystal of LaBr2Cl relaxed with PBEsol.

Properties
Fermi-level density of states (states/eV per cell): 0.00

```
data_LaBr2Cl
_space_group_name_H-M_alt 'C m m m'
_space_group_IT_number 65
_space_group_name_Hall '-C 2 2'
_cell_length_a 5.519
_cell_length_b 13.772
_cell_length_c 4.376
_cell_angle_alpha 90.00
_cell_angle_beta 90.00
_cell_angle_gamma 90.00
loop_
_atom_site_label
_atom_site_fract_x
_atom_site_fract_y
_atom_site_fract_z
_atom_site_occupancy
La1 0.000 0.000 0.000 1
Br1 0.000 0.141 0.500 1
Cl1 0.000 0.500 0.000 1
```

=====

<b>
DFT (meta-GGA SCAN) results for a crystal of LaBr2Cl relaxed with PBEsol.

Properties
Fermi-level density of states (states/eV per cell): 0.00

```
data_LaBr2Cl
_space_group_name_H-M_alt 'C 1 m 1'
_space_group_IT_number 8
_cell_length_a 10.110
_cell_length_b 4.044
_cell_length_c 7.348
_cell_angle_alpha 90.00
_cell_angle_beta 113.64
_cell_angle_gamma 90.00
loop_
_space_group_symop_operation_xyz
'x,y,z'
'x,-y,z'
'x+1/2,y+1/2,z'
'x+1/2,-y+1/2,z'
loop_
_atom_site_label
_atom_site_fract_x
_atom_site_fract_y
_atom_site_fract_z
_atom_site_occupancy
La1 0.000 0.000 0.000 1
Br1 0.163 0.500 0.295 1
Br2 0.492 0.000 0.706 1
Cl1 0.296 0.000 0.001 1
```

=====

<b> comes first in stability; the runner-up is 0.013 eV/atom higher.

=====

<a>
DFT (meta-GGA SCAN) results for a crystal of LaPBrCl2 relaxed with PBEsol.

Properties
Fermi-level density of states (states/eV per cell): 3.15

```
data_LaPBrCl2
_space_group_name_H-M_alt 'P 4/m m m'
_space_group_IT_number 123
_space_group_name_Hall '-P 4 2'
_cell_length_a 4.949
_cell_length_b 4.949
_cell_length_c 5.206
_cell_angle_alpha 90.00
_cell_angle_beta 90.00
_cell_angle_gamma 90.00
loop_
_atom_site_label
_atom_site_fract_x
_atom_site_fract_y
_atom_site_fract_z
_atom_site_occupancy
La1 0.000 0.000 0.000 1
P1 0.500 0.500 0.000 1
Br1 0.500 0.500 0.500 1
Cl1 0.000 0.500 0.500 1
```

=====

<b>
DFT (meta-GGA SCAN) results for a crystal of LaPBrCl2 relaxed with PBEsol.

Properties
Fermi-level density of states (states/eV per cell): 2.28

```
data_LaPBrCl2
_space_group_name_H-M_alt 'P 4/m m m'
_space_group_IT_number 123
_space_group_name_Hall '-P 4 2'
_cell_length_a 5.318
_cell_length_b 5.318
_cell_length_c 6.148
_cell_angle_alpha 90.00
_cell_angle_beta 90.00
_cell_angle_gamma 90.00
loop_
_atom_site_label
_atom_site_fract_x
_atom_site_fract_y
_atom_site_fract_z
_atom_site_occupancy
La1 0.000 0.000 0.000 1
P1 0.000 0.000 0.500 1
Br1 0.500 0.500 0.500 1
Cl1 0.000 0.500 0.000 1
```

=====

<b> comes first in stability; the runner-up is 0.725 eV/atom higher.

=====

<a>
DFT (meta-GGA SCAN) results for a crystal of LiBr2Cl relaxed with PBEsol.

Properties
Fermi-level density of states (states/eV per cell): 13.85

```
data_LiBr2Cl
_space_group_name_H-M_alt 'F m -3 m'
_space_group_IT_number 225
_space_group_name_Hall '-F 4 2 3'
_cell_length_a 7.200
_cell_length_b 7.200
_cell_length_c 7.200
_cell_angle_alpha 90.00
_cell_angle_beta 90.00
_cell_angle_gamma 90.00
loop_
_atom_site_label
_atom_site_fract_x
_atom_site_fract_y
_atom_site_fract_z
_atom_site_occupancy
Li1 0.000 0.000 0.000 1
Br1 0.250 0.250 0.250 1
Cl1 0.000 0.000 0.500 1
```

=====

<b>
DFT (meta-GGA SCAN) results for a crystal of LiBr2Cl relaxed with PBEsol.

Properties
Fermi-level density of states (states/eV per cell): 1.89

```
data_LiBr2Cl
_space_group_name_H-M_alt 'I 4/m m m'
_space_group_IT_number 139
_space_group_name_Hall '-I 4 2'
_cell_length_a 3.854
_cell_length_b 3.854
_cell_length_c 14.495
_cell_angle_alpha 90.00
_cell_angle_beta 90.00
_cell_angle_gamma 90.00
loop_
_atom_site_label
_atom_site_fract_x
_atom_site_fract_y
_atom_site_fract_z
_atom_site_occupancy
Li1 0.000 0.000 0.000 1
Br1 0.000 0.500 0.250 1
Cl1 0.000 0.000 0.500 1
```

=====

<b> comes first in stability; the runner-up is 0.436 eV/atom higher.

=====

<a>
DFT (meta-GGA SCAN) results for a crystal of LiBr2Cl relaxed with PBEsol.

Properties
Fermi-level density of states (states/eV per cell): 0.00

```
data_LiBr2Cl
_space_group_name_H-M_alt 'R -3 m'
_space_group_IT_number 166
_space_group_name_Hall '-R 3 2"'
_cell_length_a 4.0756
_cell_length_b 4.0756
_cell_length_c 22.4171
_cell_angle_alpha 90.00
_cell_angle_beta 90.00
_cell_angle_gamma 120.00
loop_
_atom_site_label
_atom_site_fract_x
_atom_site_fract_y
_atom_site_fract_z
_atom_site_occupancy
Li1 0.0000 0.0000 0.0000 1
Br1 0.0000 0.0000 0.3921 1
Cl1 0.0000 0.0000 0.5000 1
```

=====

<b>
DFT (meta-GGA SCAN) results for a crystal of LiBr2Cl relaxed with PBEsol.

Properties
Fermi-level density of states (states/eV per cell): 1.81

```
data_LiBr2Cl
_space_group_name_H-M_alt 'C m m m'
_space_group_IT_number 65
_space_group_name_Hall '-C 2 2'
_cell_length_a 4.259
_cell_length_b 6.537
_cell_length_c 6.985
_cell_angle_alpha 90.00
_cell_angle_beta 90.00
_cell_angle_gamma 90.00
loop_
_atom_site_label
_atom_site_fract_x
_atom_site_fract_y
_atom_site_fract_z
_atom_site_occupancy
Li1 0.000 0.000 0.000 1
Br1 0.000 0.500 0.190 1
Cl1 0.000 0.000 0.500 1
```

=====

<a> comes first in stability; the runner-up is 0.288 eV/atom higher.